i:
Computed, not measured: a relaxed Li2Ga4Rh crystal at the PBE level of DFT.

Properties
Symmetry   I4/mmm (139)
N(E_F)   3.324 states/eV/f.u.

a b c (Å): 4.704 4.704 7.495
angles (deg): 71.71 71.71 90.00
Atoms (fractional coordinates):
Rh  0.000  0.000  0.000
Ga  0.188  0.188  0.624
Ga  0.812  0.812  0.376
Ga  0.000  0.500  0.000
Ga  0.500  0.000  0.000
Li  0.381  0.381  0.239
Li  0.619  0.619  0.761



ii:
Computed, not measured: a relaxed Li2Ga4Rh crystal at the PBE level of DFT.

Properties
Symmetry   I4/mmm (139)
N(E_F)   1.715 states/eV/f.u.

a b c (Å): 6.656 5.258 5.258
angles (deg): 66.39 50.73 50.73
Atoms (fractional coordinates):
Li  0.000  0.500  0.500
Li  0.500  0.500  0.500
Ga  0.500  0.500  0.000
Ga  0.000  0.000  0.500
Ga  0.500  0.000  0.500
Ga  0.000  0.500  0.000
Rh  0.000  0.000  0.000



The most stable arrangement is ii, and the next structure is 17.2 kJ/mol of atoms less stable.